9
Lattice="2.3386 -6.6232 0.0000 2.3386 6.6232 0.0000 -2.1785 0.0000 3.9902" Properties=species:S:1:pos:R:3 comment="Cr2CoRh6 | Alexandria via LeMat-Bulk | GGA-PBE | relaxed" total_magnetization_mub_per_fu=4.05 e_form_ev_per_atom=0.13 space_group="No. 12" dft_energy_ev_per_atom=-7.696 pbc="T T T"
Cr 2.3386 4.3504 0.0000
Cr 2.3386 -4.3504 0.0000
Co -1.0892 0.0000 1.9951
Rh 0.0542 2.1941 2.6628
Rh 1.1229 0.0000 0.6339
Rh 0.0542 -2.1941 2.6628
Rh 2.4446 2.1941 1.3274
Rh 1.3758 0.0000 3.3563
Rh 2.4446 -2.1941 1.3274